Computed, not measured: MgCuAg2 at its PBEsol-relaxed geometry at the meta-GGA SCAN level of DFT.

Cell lengths 4.8450, 4.8450, 4.7511 Å; angles 103.29, 103.29, 35.63 degrees
Positions (direct):
Mg 0.0000 0.0000 0.0000
Cu 0.5000 0.5000 0.5000
Ag 0.2405 0.2405 0.7408
Ag 0.7595 0.7595 0.2592

Properties
Total magnetic moment ... 0.00 Bohr magnetons per cell
ρ ... 7.997 g cm⁻³
E ... -20.76 eV/atom
DFT formation energy ... -0.04 eV per atom